(1)
Below is a geometry-optimized SrAsW2 structure, with properties calculated at the GGA-PBE level.

Properties
The calculation puts the formation energy at 0.36 eV per atom.

Lattice parameters (Å, degrees): 4.400 6.219 4.386 110.69 120.15 89.97
Last column: magnetic moment on the atom in μB.
Sites, in units of the cell vectors:
Sr: 0.749 0.246 0.498  0.03
As: 0.547 0.639 0.093  0.03
W: 0.952 0.858 0.904  0.36
W: 0.253 0.757 0.505  -0.05

(2)
Below is a geometry-optimized Ta3BeSe structure, with properties calculated at the GGA-PBE level.

Properties
Its energy relative to the lowest polymorph listed for this composition is 0 meV per atom. The value obtained for the energy relative to the elements, uncorrected is 764.1 meV/atom.

Lattice parameters (Å, degrees): 4.448 4.448 4.448 90.00 90.00 90.00
Sites, in units of the cell vectors:
Be: 0.000 0.000 0.000
Se: 0.500 0.500 0.500
Ta: 0.000 0.500 0.000
Ta: 0.000 0.000 0.500
Ta: 0.500 0.000 0.000

(3)
Below is a geometry-optimized PaSbO2 structure, with properties calculated at the GGA-PBE level.

Properties
The value obtained for the energy relative to the elements, uncorrected is -1288.3 meV/atom.

Lattice parameters (Å, degrees): 4.144 4.144 5.963 69.67 69.67 60.00
Last column: magnetic moment on the atom in μB.
Sites, in units of the cell vectors:
Sb: 0.500 0.500 0.500  0.02
Pa: 0.000 0.000 0.000  0.43
O: 0.123 0.123 0.630  -0.01
O: 0.877 0.877 0.370  -0.01

(4)
Below is a geometry-optimized Nd2ScAlO6 structure, with properties calculated at the GGA-PBE level.

Properties
The value obtained for the energy relative to the elements, uncorrected is -3351.7 meV/atom.

Lattice parameters (Å, degrees): 5.496 5.613 7.842 90.00 89.67 90.00
Sites, in units of the cell vectors:
Nd: 0.012 0.954 0.250
Nd: 0.512 0.546 0.750
Nd: 0.988 0.046 0.750
Nd: 0.488 0.454 0.250
Sc: 0.500 0.000 0.500
Sc: 0.000 0.500 0.000
Al: 0.500 0.000 0.000
Al: 0.000 0.500 0.500
O: 0.301 0.719 0.048
O: 0.801 0.781 0.548
O: 0.699 0.281 0.952
O: 0.199 0.219 0.452
O: 0.279 0.700 0.454
O: 0.779 0.800 0.954
O: 0.721 0.300 0.546
O: 0.221 0.200 0.046
O: 0.912 0.525 0.261
O: 0.412 0.975 0.761
O: 0.088 0.475 0.739
O: 0.588 0.025 0.239

(5)
Below is a geometry-optimized Fe2MoAs structure, with properties calculated at the GGA-PBE level.

Properties
The calculation puts the formation energy at 0.10 eV per atom.

Lattice parameters (Å, degrees): 3.765 2.866 5.202 74.05 90.00 90.00
Last column: magnetic moment on the atom in μB.
Sites, in units of the cell vectors:
As: 0.500 0.940 0.745  -0.03
Fe: 0.000 0.803 0.020  1.37
Fe: 0.500 0.200 0.224  2.37
Mo: 0.000 0.557 0.511  -0.22

(6)
Below is a geometry-optimized SrYPt2Cl structure, with properties calculated at the GGA-PBE level.

Properties
The value obtained for the energy relative to the elements, uncorrected is -11.5 meV/atom.

Lattice parameters (Å, degrees): 4.960 5.011 4.960 90.00 90.00 90.00
Sites, in units of the cell vectors:
Y: 0.500 0.500 0.500
Sr: 0.000 0.500 0.000
Pt: 0.000 0.000 0.500
Pt: 0.500 0.000 0.000
Cl: 0.000 0.000 0.000

(7)
Below is a geometry-optimized BaLiAlAs2 structure, with properties calculated at the GGA-PBE level.

Properties
The calculation puts the formation energy at -0.86 eV per atom.

Lattice parameters (Å, degrees): 4.238 7.083 8.994 78.19 76.37 72.59
Sites, in units of the cell vectors:
Ba: 0.819 0.715 0.647
Ba: 0.181 0.285 0.353
Li: 0.353 0.364 0.931
Li: 0.647 0.636 0.069
Al: 0.032 0.111 0.824
Al: 0.968 0.889 0.176
As: 0.446 0.772 0.336
As: 0.554 0.228 0.664
As: 0.837 0.251 0.076
As: 0.163 0.749 0.924

(8)
Below is a geometry-optimized Hf5Rh structure, with properties calculated at the GGA-PBE level.

Properties
The calculation puts the formation energy at -0.26 eV per atom.

Lattice parameters (Å, degrees): 3.332 4.922 7.931 108.08 90.00 90.00
Sites, in units of the cell vectors:
Rh: 0.000 0.000 0.000
Hf: 0.500 0.856 0.711
Hf: 0.000 0.681 0.362
Hf: 0.500 0.500 0.000
Hf: 0.000 0.319 0.638
Hf: 0.500 0.144 0.289

(9)
Below is a geometry-optimized BeOsRh structure, with properties calculated at the GGA-PBE level.

Properties
Its energy relative to the lowest polymorph listed for this composition is 0 meV per atom. The calculation puts the formation energy at -0.17 eV per atom.

Lattice parameters (Å, degrees): 5.103 5.103 5.103 148.59 148.59 45.01
Sites, in units of the cell vectors:
Rh: 0.649 0.649 0.000
Os: 0.350 0.350 0.000
Be: 0.001 0.001 0.000

(10)
Below is a geometry-optimized CdOsBr structure, with properties calculated at the GGA-PBE level.

Properties
Its energy relative to the lowest polymorph listed for this composition is 0 meV per atom. The value obtained for the energy relative to the elements, uncorrected is 824.9 meV/atom.

Lattice parameters (Å, degrees): 3.030 3.030 7.667 90.00 90.00 120.00
Sites, in units of the cell vectors:
Os: 0.667 0.333 0.683
Br: 0.000 0.000 0.937
Cd: 0.333 0.667 0.381

(11)
Below is a geometry-optimized Ac6CuGe2 structure, with properties calculated at the GGA-PBE level.

Properties
The calculation puts the formation energy at -0.32 eV per atom.

Lattice parameters (Å, degrees): 7.056 8.572 10.547 90.00 89.67 90.00
Sites, in units of the cell vectors:
Ac: 0.851 0.958 0.239
Ac: 0.861 0.672 0.558
Ac: 0.865 0.683 0.936
Ac: 0.635 0.183 0.564
Ac: 0.639 0.172 0.942
Ac: 0.649 0.458 0.261
Ac: 0.149 0.042 0.761
Ac: 0.139 0.328 0.442
Ac: 0.135 0.317 0.064
Ac: 0.365 0.817 0.436
Ac: 0.361 0.828 0.058
Ac: 0.351 0.542 0.739
Cu: 0.500 0.500 0.000
Cu: 0.000 0.000 0.500
Ge: 0.927 0.376 0.752
Ge: 0.573 0.876 0.748
Ge: 0.427 0.124 0.252
Ge: 0.073 0.624 0.248

(12)
Below is a geometry-optimized SrIn2Cl structure, with properties calculated at the GGA-PBE level.

Properties
Its energy relative to the lowest polymorph listed for this composition is 197 meV per atom. The value obtained for the energy relative to the elements, uncorrected is -623.0 meV/atom.

Lattice parameters (Å, degrees): 3.838 6.047 5.722 90.00 90.00 90.00
Sites, in units of the cell vectors:
Cl: 0.500 0.500 0.750
In: 0.000 0.000 0.006
In: 0.000 0.000 0.494
Sr: 0.500 0.500 0.250

(13)
Below is a geometry-optimized SmTiZn2 structure, with properties calculated at the GGA-PBE level.

Properties
Its energy relative to the lowest polymorph listed for this composition is 72 meV per atom. The calculation puts the formation energy at -0.11 eV per atom.

Lattice parameters (Å, degrees): 4.837 4.837 4.837 60.00 60.00 60.00
Last column: magnetic moment on the atom in μB.
Sites, in units of the cell vectors:
Zn: 0.250 0.250 0.250  0.00
Zn: 0.750 0.750 0.750  0.00
Sm: 0.500 0.500 0.500  0.09
Ti: 0.000 0.000 0.000  0.81

Here are the calculated spin magnetization numbers, same order: 0.160; 0.000; 0.157; 0.000; 0.866; 0.000; 0.000; 0.000; 0.000; 0.000; 0.000; 0.000; 0.292 (μB/atom).
Here are the calculated calculated total energy numbers, same order: -7.704; -7.790; -7.172; -8.288; -8.000; -4.426; -4.233; -9.781; -7.610; -3.781; -4.543; -2.874; -3.903 (eV per atom).